TcHg2Ru after structural relaxation, computed with PBE-GGA.

Output
The calculation puts the uncorrected energy at -4.366 eV per atom. The calculated formation energy is 0.6958 eV/atom. Its energy above the most stable polymorph in this dataset is 443 meV/atom. Its mass density is 14.21 g cm⁻³.

Cell: 9.505 2.921 5.132 Å, 90.00 100.09 90.00°
Space group C2/m (No. 12)
Asymmetric unit:
Tc1 0.000 0.000 0.000 x2
Hg1 0.249 0.000 0.749 x4
Ru1 0.000 0.500 0.500 x2